1.
Material: TbNiIr
Method: DFT, PBE-GGA
State: relaxed

The structure in extended XYZ format:
```
3
Lattice="-1.9429 2.6159 1.9913 -3.5536 -1.6232 -1.3349 1.7179 -1.3813 3.4908" Properties=species:S:1:pos:R:3 pbc="T T T"
Ir -0.3631 -1.0260 2.2141
Tb -3.0917 0.2014 1.6012
Ni -0.3238 0.4360 0.3319
```

Summary:
Symmetry: P-6m2 (187)
Raw total energy (eV/cell): -20.93
Energy of formation from the pure elements (eV per atom): -0.554

***

2.
Material: Tb6Dy16Th7
Method: DFT, PBE-GGA
State: relaxed

The structure in extended XYZ format:
```
29
Lattice="9.7371 0.0000 5.6217 3.2457 9.1803 5.6217 0.0000 0.0000 11.2435" Properties=species:S:1:pos:R:3 pbc="T T T"
Dy 1.6864 1.1924 8.3226
Tb 4.8899 6.8551 8.4695
Th 1.6229 4.5901 8.4326
Dy 1.6864 1.1924 2.9209
Dy 9.7371 3.5773 16.8652
Tb 8.0930 2.3252 8.4695
Dy 6.6184 7.9878 16.8652
Th 0.0000 0.0000 5.6217
Dy 11.2965 7.9878 14.1643
Dy 8.4731 5.9914 14.6759
Th 4.8686 0.0000 2.8109
Th 6.4914 4.5901 5.6217
Tb 3.2883 2.3252 11.2435
Dy 4.5097 3.1889 7.8111
Dy 8.4731 5.9914 7.8111
Dy 6.4914 8.7939 11.2435
Dy 3.2457 5.6029 5.6217
Dy 11.2965 7.9878 19.5661
Dy 2.5280 5.9914 11.2435
Tb 4.8899 6.8551 14.0175
Th 0.0000 0.0000 0.0000
Th 1.6229 4.5901 2.8109
Dy 6.4914 0.3863 11.2435
Dy 4.5097 3.1889 14.6759
Dy 6.3644 1.1924 5.6217
Tb 9.6946 6.8551 11.2435
Dy 10.4548 3.1889 11.2435
Tb 8.0930 2.3252 14.0175
Th 4.8686 0.0000 8.4326
```

Summary:
Symmetry: Fm-3m (225)
Raw total energy (eV/cell): -145.37
Energy of formation from the pure elements (eV per atom): 0.275

***

3.
Material: AcZn2SiRu2
Method: DFT, PBE-GGA
State: relaxed

The structure in extended XYZ format:
```
6
Lattice="-3.1393 3.0364 1.0093 -1.8885 -0.6168 -4.0183 -3.4506 -4.3274 2.2859" Properties=species:S:1:pos:R:3 pbc="T T T"
Zn -5.0969 -2.0295 0.2066
Si 0.0000 0.0000 0.0000
Zn -3.3815 0.1218 -0.9298
Ru -0.9442 -0.3084 -2.0092
Ac -1.7253 -2.1637 1.1430
Ru -1.5697 1.5182 0.5046
```

Summary:
Formation energy from raw total energies (eV/atom): -0.27
Symmetry: P4/mmm (123)
Raw total energy (eV/cell): -32.23

***

4.
Material: SmAgPd6
Method: DFT, PBE-GGA
State: relaxed

The structure in extended XYZ format:
```
8
Lattice="5.4166 0.5083 0.5750 -0.0863 5.4397 0.5750 -0.0863 -0.0963 5.4692" Properties=species:S:1:pos:R:3 pbc="T T T"
Sm 0.0000 0.0000 0.0000
Pd 2.8430 1.1350 1.2839
Pd 0.8177 0.9125 3.0851
Pd 4.4263 4.9393 3.5341
Pd 2.4010 4.7168 5.3353
Pd 4.4263 2.9018 5.3353
Ag 2.6220 2.9259 3.3096
Pd 0.8177 2.9500 1.2839
```

Summary:
Symmetry: R-3m (166)
Energy above the lowest structure with this stoichiometry (meV/atom): 459
Raw total energy (eV/cell): -38.16
Energy of formation from the pure elements (eV per atom): 0.071

***

The highest raw total energy belongs to which entry?
TbNiIr